5
Lattice="2.736 0.000 0.000 0.000 2.736 0.000 0.000 0.000 6.538" Properties=species:S:1:pos:R:3 comment="NiHN2O | the Alexandria database | PBE+U | relaxed" total_magnetization_mub_per_fu=1.715 final_energy_ev_per_atom=-4.051 spacegroup="P4/mmm (123)" pbc="T T T"
O 0.000 0.000 3.269
H 0.000 0.000 0.000
Ni 1.368 1.368 3.269
N 1.368 0.000 0.000
N 0.000 1.368 0.000